1.
The following is a GGA-PBEsol calculation of ScHgSe after structural relaxation, from the Alexandria database.

a b c (Å): 4.6813 4.6813 4.6813
angles (deg): 60.00 60.00 60.00
Positions (direct):
Hg1 0.0000 0.0000 0.0000
Sc1 0.5000 0.5000 0.5000
Se1 0.7500 0.7500 0.7500

Properties
Symmetry = No. 216
DOS at the Fermi energy = 0.830 states/eV/atom
E = -0.3022 Ry per atom

---

2.
The following is a GGA-PBEsol calculation of ScHgSe2 after structural relaxation, from the Alexandria database.

a b c (Å): 3.7310 4.0337 6.0827
angles (deg): 90.00 107.84 90.00
Positions (direct):
Hg1 0.2554 0.0000 0.3851
Sc1 0.4507 0.5000 0.7769
Se1 0.0208 0.0000 0.9172
Se2 0.7731 0.5000 0.4208

Properties
Symmetry = No. 38
DOS at the Fermi energy = 0.174 states/eV/atom
E = -0.3426 Ry per atom